# 1
Material: Li2SiIrAu
Method: DFT, PBE-GGA
State: optimized geometry

Summary:
The value obtained for the magnetic moment is 0.0 Bohr magnetons per cell. As for the energy: -3.660 eV/atom. As for the calculated volume: 18.9 Å³ per atom.

a = 4.2854 Å, b = 4.2854 Å, c = 5.1512 Å
α = 90.00°, β = 90.00°, γ = 90.00°
Space group P4/mmm (No. 123)
Unique sites:
Li1 0.0000 0.5000 0.0000 (multiplicity 2)
Si1 0.0000 0.0000 0.5000 (multiplicity 1)
Ir1 0.5000 0.5000 0.5000 (multiplicity 1)
Au1 0.5000 0.5000 0.0000 (multiplicity 1)


# 2
Material: ZrReSi2
Method: DFT, PBE-GGA
State: optimized geometry

Summary:
The value obtained for the magnetic moment is 0.0 Bohr magnetons per cell. As for the energy: -8.189 eV/atom. As for the calculated volume: 16.1 Å³ per atom.

a = 8.8286 Å, b = 3.1964 Å, c = 4.6791 Å
α = 90.00°, β = 103.16°, γ = 90.00°
Space group Cm (No. 8)
Unique sites:
Zr1 0.0000 0.0000 0.0000 (multiplicity 2)
Re1 0.2287 0.0000 0.6572 (multiplicity 2)
Si1 0.2582 0.5000 0.2719 (multiplicity 2)
Si2 0.4964 0.0000 0.4921 (multiplicity 2)


# 3
Material: GeTeOs
Method: DFT, PBE-GGA
State: optimized geometry

Summary:
The value obtained for the magnetic moment is 0.0 Bohr magnetons per cell. As for the energy: -6.369 eV/atom. As for the calculated volume: 19.9 Å³ per atom.

a = 6.2876 Å, b = 6.5484 Å, c = 6.5815 Å
α = 90.00°, β = 118.26°, γ = 90.00°
Space group P2_1/c (No. 14)
Unique sites:
Ge1 0.1457 0.1651 0.2904 (multiplicity 4)
Te1 0.3361 0.6210 0.1569 (multiplicity 4)
Os1 0.2469 0.0012 0.9915 (multiplicity 4)


# 4
Material: La2Be3Cu12Ni
Method: DFT, PBE-GGA
State: optimized geometry

Summary:
The value obtained for the magnetic moment is 0.0 Bohr magnetons per cell. Its energy of formation is 306 meV/atom. As for the calculated volume: 16.2 Å³ per atom.

a = 7.6191 Å, b = 7.6191 Å, c = 17.4478 Å
α = 90.00°, β = 90.00°, γ = 120.00°
Space group R-3m (No. 166, hexagonal axes)
Unique sites:
La1 0.0000 0.0000 0.1129 (multiplicity 6)
Be1 0.0000 0.5000 0.0000 (multiplicity 9)
Cu1 0.0098 0.5049 0.1192 (multiplicity 18)
Cu2 0.0447 0.5223 0.3575 (multiplicity 18)
Ni1 0.0000 0.0000 0.5000 (multiplicity 3)


# 5
Material: Co2AgCl
Method: DFT, PBE-GGA
State: optimized geometry

Summary:
The value obtained for the magnetic moment is 7.8 Bohr magnetons per cell. Its offset from the most stable computed form is 50.8 meV per atom. As for the calculated volume: 16.2 Å³ per atom.

a = 5.4084 Å, b = 2.9770 Å, c = 8.0507 Å
α = 90.00°, β = 91.13°, γ = 90.00°
Space group Cm (No. 8)
Unique sites:
Co1 0.0000 0.0000 0.0000 (multiplicity 2)
Co2 0.1980 0.5000 0.8114 (multiplicity 2)
Ag1 0.3650 0.0000 0.5495 (multiplicity 2)
Cl1 0.3560 0.0000 0.2066 (multiplicity 2)


# 6
Material: NaSi2TeP
Method: DFT, PBE-GGA
State: optimized geometry

Summary:
The value obtained for the magnetic moment is 0.0 Bohr magnetons per cell. As for the energy: -3.707 eV/atom. As for the calculated volume: 24.3 Å³ per atom.

a = 4.6754 Å, b = 4.6754 Å, c = 5.5609 Å
α = 90.00°, β = 90.00°, γ = 90.00°
Space group P4/mmm (No. 123)
Unique sites:
Na1 0.0000 0.0000 0.0000 (multiplicity 1)
Si1 0.0000 0.5000 0.5000 (multiplicity 2)
Te1 0.5000 0.5000 0.0000 (multiplicity 1)
P1 0.5000 0.5000 0.5000 (multiplicity 1)